Entry 1:
NaPaRu, optimized geometry, DFT PBE; energy = -6.660 eV per atom; crystal system = trigonal; formation enthalpy at 0 K = 0.04 eV per atom
1.0
4.4379 0.0000 0.0000
-2.2190 3.7347 0.8982
0.0000 0.3677 9.4256
Pa Na Ru
2 2 2
Direct
0.1201 0.2401 0.1400
0.8799 0.7599 0.8600
0.3626 0.7252 0.4121
0.6374 0.2748 0.5879
0.2262 0.4524 0.8213
0.7738 0.5476 0.1787


Entry 2:
NaPa2Ru, optimized geometry, DFT PBE; energy = -7.129 eV per atom; crystal system = trigonal; formation enthalpy at 0 K = 0.27 eV per atom
1.0
3.5495 0.0000 0.0000
1.7748 3.0740 0.0000
1.7748 1.0247 10.7453
Ru Pa Na
1 2 1
Direct
0.5000 0.5000 0.5000
0.1111 0.1111 0.6668
0.8889 0.8889 0.3332
0.0000 0.0000 0.0000


Entry 3:
Na3Pa3RuSe8, optimized geometry, DFT PBE; uncorrected formation energy = -1.112 eV/atom; energy = -5.752 eV per atom; crystal system = monoclinic
1.0
7.8152 0.0000 0.0000
-3.9076 6.7613 -0.0234
0.0000 -4.4780 7.4813
Na Pa Ru Se
3 3 1 8
Direct
0.0000 0.0000 0.0000
0.0000 0.5000 0.0000
0.5000 0.5000 0.0000
0.5000 0.0000 0.5000
0.5000 0.5000 0.5000
0.0000 0.5000 0.5000
0.0000 0.0000 0.5000
0.2521 0.5042 0.2566
0.7479 0.4958 0.7435
0.7750 0.5500 0.2820
0.2250 0.4500 0.7180
0.7750 0.0068 0.2819
0.2250 0.9932 0.7181
0.2318 0.0068 0.2819
0.7682 0.9932 0.7181


Entry 4:
NaPa5S6, optimized geometry, DFT PBE; uncorrected formation energy = -1.543 eV/atom; energy = -7.673 eV per atom; crystal system = monoclinic
1.0
6.7198 0.1364 1.0060
1.6281 5.6324 3.2830
0.1082 0.0536 6.7311
Na S Pa
1 6 5
Direct
0.0000 0.0000 0.0000
0.7523 0.0827 0.3315
0.2477 0.5858 0.3315
0.2456 0.2495 0.0000
0.7544 0.7505 0.0000
0.7523 0.4142 0.6685
0.2477 0.9173 0.6685
0.5000 0.1645 0.6710
0.0000 0.3327 0.3345
0.5000 0.5000 0.0000
0.0000 0.6673 0.6655
0.5000 0.8355 0.3290


Entry 5:
NaPa4S7, optimized geometry, DFT PBE; uncorrected formation energy = -1.545 eV/atom; energy = -7.228 eV per atom; crystal system = trigonal
1.0
-0.8083 3.5076 -1.6537
-2.9113 -2.1457 1.6161
3.6243 10.4624 20.4200
Na Pa S
1 4 7
Direct
0.0000 0.0000 0.5000
0.6667 0.3333 0.0659
0.3333 0.6667 0.9341
0.6667 0.3333 0.3512
0.3333 0.6667 0.6488
0.0000 0.0000 0.0000
0.6667 0.3333 0.5785
0.3333 0.6667 0.4215
0.6667 0.3333 0.8707
0.3333 0.6667 0.1293
0.0000 0.0000 0.2895
0.0000 0.0000 0.7105


Entry 6:
Na5PaS6, optimized geometry, DFT PBE; uncorrected formation energy = -1.110 eV/atom; energy = -4.514 eV per atom; crystal system = monoclinic
1.0
-6.6137 1.5883 1.6165
-0.9062 -0.1564 7.0093
1.0556 5.8707 3.8324
Na Pa S
5 1 6
Direct
0.5000 0.1779 0.6443
0.0000 0.3322 0.3355
0.5000 0.5000 0.0000
0.0000 0.6678 0.6645
0.5000 0.8221 0.3557
0.0000 0.0000 0.0000
0.7652 0.0784 0.3054
0.2348 0.6162 0.3054
0.2318 0.2266 0.0000
0.7682 0.7734 0.0000
0.7652 0.3838 0.6946
0.2348 0.9216 0.6946


Entry 7:
NaPa4S8, optimized geometry, DFT PBE; uncorrected formation energy = -1.517 eV/atom; energy = -7.081 eV per atom; crystal system = monoclinic
1.0
1.3658 -1.2483 -7.8307
5.3914 -2.4641 5.4410
-6.6170 -4.3601 1.6950
Na Pa S
1 4 8
Direct
0.0000 0.5000 0.5000
0.2499 0.2499 0.0000
0.7501 0.7501 0.0000
0.2641 0.7637 0.0277
0.7359 0.2363 0.9723
0.7025 0.0366 0.2066
0.1700 0.5042 0.2066
0.6904 0.5086 0.1990
0.1849 0.0254 0.2104
0.8151 0.9746 0.7896
0.3096 0.4914 0.8010
0.8300 0.4958 0.7934
0.2975 0.9634 0.7934


Entry 8:
NaPaS2, optimized geometry, DFT PBE; uncorrected formation energy = -1.407 eV/atom; energy = -6.174 eV per atom; crystal system = trigonal
1.0
3.8791 0.0000 0.0000
1.9395 3.3594 0.0000
1.9395 1.1198 7.1629
Na Pa S
1 1 2
Direct
0.4967 0.4967 0.5099
0.6678 0.6678 0.9966
0.0783 0.0783 0.7651
0.2572 0.2572 0.2284